Record 1
TbErTl3: relaxed, PBE-GGA.

Results
Magnetic moment: 0.00 Bohr magnetons per cell
E_tot: -3.287 eV/atom
Symmetry: Cmcm (63)

a = 6.3854 Å, b = 7.3822 Å, c = 7.3822 Å
α = 119.95°, β = 90.00°, γ = 90.00°
With the nearest neighbours (Å) after each atom.
Atoms (fractional coordinates):
Tl (0.2500, 0.3981, 0.1993)  2 Tl 2.97, 2 Er 3.01
Tl (0.7500, 0.1992, 0.8008)  2 Tl 2.97, 2 Er 3.01
Tl (0.7500, 0.6019, 0.8007)  2 Tl 2.97, 2 Er 3.01
Tl (0.7500, 0.1993, 0.3981)  2 Tl 2.97, 2 Er 3.01
Tl (0.2500, 0.8008, 0.1992)  2 Tl 2.97, 2 Er 3.01
Tl (0.2500, 0.8007, 0.6019)  2 Tl 2.97, 2 Er 3.01
Tb (0.2500, 0.3335, 0.6665)  12 Tl 3.63-3.72
Tb (0.7500, 0.6665, 0.3335)  12 Tl 3.63-3.72
Er (0.5000, 0.0000, 0.0000)  6 Tl 3.01, 2 Er 3.19
Er (0.0000, 0.0000, 0.0000)  6 Tl 3.01, 2 Er 3.19

=====

Record 2
SmErMgAg: relaxed, PBE-GGA.

Results
Distance to the lowest polymorph of the same formula: 0.0429 eV/atom
Magnetic moment: 0.00 Bohr magnetons per cell
E_tot: -3.572 eV/atom
Symmetry: F-43m (216)

a = 5.2732 Å, b = 5.2732 Å, c = 5.2732 Å
α = 60.00°, β = 60.00°, γ = 60.00°
With the nearest neighbours (Å) after each atom.
Atoms (fractional coordinates):
Mg (0.7500, 0.7500, 0.7500)  4 Sm 3.23, 4 Er 3.23
Ag (0.2500, 0.2500, 0.2500)  4 Er 3.23, 4 Sm 3.23
Er (0.5000, 0.5000, 0.5000)  4 Mg 3.23, 4 Ag 3.23
Sm (0.0000, 0.0000, 0.0000)  4 Ag 3.23, 4 Mg 3.23

=====

Record 3
Pu2Hf3Ge4: relaxed, PBE-GGA.

Results
Magnetic moment: 22.41 Bohr magnetons per cell
E_tot: -9.187 eV/atom
Symmetry: P2_1/c (14)

a = 7.2583 Å, b = 7.3964 Å, c = 7.3922 Å
α = 90.00°, β = 90.00°, γ = 110.09°
With the nearest neighbours (Å) after each atom.
Atoms (fractional coordinates):
Pu (0.9394, 0.8149, 0.8334)  7 Ge 2.93-3.18
Pu (0.5606, 0.1851, 0.3334)  7 Ge 2.93-3.18
Pu (0.4394, 0.8149, 0.6666)  7 Ge 2.93-3.18
Pu (0.0606, 0.1851, 0.1666)  7 Ge 2.93-3.18
Ge (0.8586, 0.0875, 0.5387)  4 Hf 2.71-2.88, 1 Ge 2.84, 1 Pu 2.93
Ge (0.1414, 0.9125, 0.4613)  4 Hf 2.71-2.88, 1 Ge 2.84, 1 Pu 2.93
Ge (0.1376, 0.5093, 0.8653)  5 Hf 2.74-2.87, 1 Ge 2.79, 1 Pu 2.94
Ge (0.3624, 0.4907, 0.3653)  5 Hf 2.74-2.87, 1 Ge 2.79, 1 Pu 2.94
Ge (0.6414, 0.9125, 0.0387)  4 Hf 2.71-2.88, 1 Ge 2.84, 1 Pu 2.93
Ge (0.6376, 0.5093, 0.6347)  5 Hf 2.74-2.87, 1 Ge 2.79, 1 Pu 2.94
Ge (0.8624, 0.4907, 0.1347)  5 Hf 2.74-2.87, 1 Ge 2.79, 1 Pu 2.94
Ge (0.3586, 0.0875, 0.9613)  4 Hf 2.71-2.88, 1 Ge 2.84, 1 Pu 2.93
Hf (0.0000, 0.5000, 0.5000)  6 Ge 2.84-2.88
Hf (0.2483, 0.2492, 0.6699)  6 Ge 2.71-2.84
Hf (0.2517, 0.7508, 0.1699)  6 Ge 2.71-2.84
Hf (0.7517, 0.7508, 0.3301)  6 Ge 2.71-2.84
Hf (0.7483, 0.2492, 0.8301)  6 Ge 2.71-2.84
Hf (0.5000, 0.5000, 0.0000)  6 Ge 2.84-2.88

=====

Record 4
K2Sc3SnF12: relaxed, PBE-GGA.

Results
Magnetic moment: 1.01 Bohr magnetons per cell
E_tot: -6.013 eV/atom
Symmetry: R-3m (166)
Formation energy (no corrections): -3366 meV/atom

a = 7.3941 Å, b = 7.3941 Å, c = 7.3941 Å
α = 64.17°, β = 64.17°, γ = 64.17°
With the nearest neighbours (Å) after each atom.
Atoms (fractional coordinates):
F (0.7035, 0.0981, 0.7035)  2 Sc 2.07
F (0.5875, 0.1277, 0.1277)  1 Sc 2.01
F (0.8723, 0.8723, 0.4125)  1 Sc 2.01
F (0.9019, 0.2965, 0.2965)  2 Sc 2.07
F (0.8723, 0.4125, 0.8723)  1 Sc 2.01
F (0.2965, 0.2965, 0.9019)  2 Sc 2.07
F (0.1277, 0.1277, 0.5875)  1 Sc 2.01
F (0.1277, 0.5875, 0.1277)  1 Sc 2.01
F (0.7035, 0.7035, 0.0981)  2 Sc 2.07
F (0.2965, 0.9019, 0.2965)  2 Sc 2.07
F (0.4125, 0.8723, 0.8723)  1 Sc 2.01
F (0.0981, 0.7035, 0.7035)  2 Sc 2.07
Sc (0.5000, 0.0000, 0.0000)  6 F 2.01-2.07
Sc (0.0000, 0.5000, 0.0000)  6 F 2.01-2.07
Sc (0.0000, 0.0000, 0.5000)  6 F 2.01-2.07
K (0.6257, 0.6257, 0.6257)  3 F 2.65
K (0.3743, 0.3743, 0.3743)  3 F 2.65
Sn (0.0000, 0.0000, 0.0000)  6 F 2.62

=====

Record 5
RbUInTe3: relaxed, PBE-GGA.

Results
Magnetic moment: 4.74 Bohr magnetons per cell
E_tot: -4.747 eV/atom
Symmetry: P2_1/m (11)
Formation energy (no corrections): -677 meV/atom

a = 4.3760 Å, b = 10.2591 Å, c = 10.7720 Å
α = 105.18°, β = 90.00°, γ = 90.00°
With the nearest neighbours (Å) after each atom.
Atoms (fractional coordinates):
Te (0.2500, 0.6816, 0.4462)  1 U 3.04, 2 In 3.06
Te (0.2500, 0.1346, 0.8375)  1 In 2.98, 2 U 3.13
Te (0.7500, 0.8654, 0.1625)  1 In 2.98, 2 U 3.13
Te (0.7500, 0.4308, 0.1399)  3 U 3.08-3.09
Te (0.2500, 0.5692, 0.8601)  3 U 3.08-3.09
Te (0.7500, 0.3184, 0.5538)  1 U 3.04, 2 In 3.06
U (0.7500, 0.3539, 0.8425)  6 Te 3.04-3.13
U (0.2500, 0.6461, 0.1575)  6 Te 3.04-3.13
In (0.2500, 0.1106, 0.5560)  3 Te 2.98-3.06, 2 In 3.16
In (0.7500, 0.8894, 0.4440)  3 Te 2.98-3.06, 2 In 3.16
Rb (0.7500, 0.8126, 0.7664)  6 Te 3.66-4.01, 1 In 3.76
Rb (0.2500, 0.1874, 0.2336)  6 Te 3.66-4.01, 1 In 3.76

=====

Record 6
Sr2TlGe: relaxed, PBE-GGA.

Results
Magnetic moment: 0.00 Bohr magnetons per cell
E_tot: -2.710 eV/atom
Symmetry: I-42d (122)

a = 8.7812 Å, b = 8.7812 Å, c = 7.2484 Å
α = 52.72°, β = 52.72°, γ = 90.00°
With the nearest neighbours (Å) after each atom.
Atoms (fractional coordinates):
Sr (0.8750, 0.8474, 0.7500)  2 Ge 3.08, 2 Tl 3.41
Sr (0.3750, 0.4026, 0.7500)  2 Ge 3.08, 2 Tl 3.41
Sr (0.5974, 0.1250, 0.2500)  2 Ge 3.08, 2 Tl 3.41
Sr (0.1526, 0.6250, 0.2500)  2 Ge 3.08, 2 Tl 3.41
Ge (0.5000, 0.5000, 0.0000)  4 Sr 3.08
Ge (0.2500, 0.7500, 0.5000)  4 Sr 3.08
Tl (0.7500, 0.2500, 0.5000)  4 Sr 3.41, 2 Ge 3.74
Tl (0.0000, 0.0000, 0.0000)  4 Sr 3.41, 2 Ge 3.74

=====

Record 7
AlCuSbPd2: relaxed, PBE-GGA.

Results
Magnetic moment: 0.00 Bohr magnetons per cell
E_tot: -4.207 eV/atom
Symmetry: P4/mmm (123)
Formation energy (no corrections): 262 meV/atom

a = 4.7227 Å, b = 4.3782 Å, c = 4.7227 Å
α = 90.00°, β = 90.00°, γ = 90.00°
With the nearest neighbours (Å) after each atom.
Atoms (fractional coordinates):
Cu (0.0000, 0.0000, 0.0000)  2 Al 2.19, 4 Pd 2.36
Pd (0.5000, 0.0000, 0.0000)  2 Cu 2.36
Pd (0.0000, 0.0000, 0.5000)  2 Cu 2.36
Al (0.0000, 0.5000, 0.0000)  2 Cu 2.19
Sb (0.5000, 0.5000, 0.5000)  8 Pd 3.22, 4 Al 3.34

=====

Record 8
RbAlTe2: relaxed, PBE-GGA.

Results
Magnetic moment: 0.00 Bohr magnetons per cell
E_tot: -3.505 eV/atom
Symmetry: C2 (5)
Formation energy (no corrections): -756 meV/atom

a = 8.5523 Å, b = 7.3903 Å, c = 7.3878 Å
α = 119.83°, β = 82.21°, γ = 124.68°
With the nearest neighbours (Å) after each atom.
Atoms (fractional coordinates):
Rb (0.8079, 0.2635, 0.8061)  5 Te 3.63-3.82
Rb (0.0406, 0.7519, 0.5524)  6 Te 3.63-4.06
Te (0.1329, 0.2905, 0.1158)  2 Al 2.66-2.67
Te (0.4825, 0.3398, 0.6141)  2 Al 2.63-2.68
Te (0.7160, 0.7351, 0.2528)  2 Al 2.66-2.67
Te (0.3664, 0.8847, 0.9534)  2 Al 2.63-2.68
Al (0.4300, 0.5992, 0.9999)  4 Te 2.63-2.68
Al (0.4189, 0.3228, 0.2650)  4 Te 2.63-2.68

=====

Record 9
KSrNi2H8: relaxed, PBE-GGA.

Results
Magnetic moment: 0.00 Bohr magnetons per cell
E_tot: -3.365 eV/atom
Symmetry: P-3m1 (164)

a = 4.1285 Å, b = 4.1285 Å, c = 10.3847 Å
α = 90.00°, β = 90.00°, γ = 120.00°
With the nearest neighbours (Å) after each atom.
Atoms (fractional coordinates):
Sr (0.0000, 0.0000, 0.5000)  12 H 2.52
H (0.4929, 0.9859, 0.3609)  1 Ni 1.52
H (0.0141, 0.5070, 0.3609)  1 Ni 1.52
H (0.4930, 0.5071, 0.3609)  1 Ni 1.52
H (0.3333, 0.6667, 0.8786)  1 Ni 1.62
H (0.5070, 0.4929, 0.6391)  1 Ni 1.52
H (0.9859, 0.4930, 0.6391)  1 Ni 1.52
H (0.5071, 0.0141, 0.6391)  1 Ni 1.52
H (0.6667, 0.3333, 0.1214)  1 Ni 1.62
K (0.0000, 0.0000, 0.0000)  6 H 2.70
Ni (0.3333, 0.6667, 0.7230)  4 H 1.52-1.62
Ni (0.6667, 0.3333, 0.2770)  4 H 1.52-1.62

=====

Record 10
NdTh2PaSb5: relaxed, PBE-GGA.

Results
Magnetic moment: 1.09 Bohr magnetons per cell
E_tot: -5.408 eV/atom
Symmetry: P4/mmm (123)
Formation energy (no corrections): 116 meV/atom

a = 5.4437 Å, b = 5.4437 Å, c = 11.6524 Å
α = 90.00°, β = 90.00°, γ = 90.00°
With the nearest neighbours (Å) after each atom.
Atoms (fractional coordinates):
Sb (0.0000, 0.5000, 0.5000)  2 Nd 2.72
Sb (0.5000, 0.5000, 0.0000)  4 Pa 3.85, 2 Th 3.90
Sb (0.0000, 0.0000, 0.7553)  1 Pa 2.85, 1 Nd 2.97
Sb (0.5000, 0.0000, 0.5000)  2 Nd 2.72
Sb (0.0000, 0.0000, 0.2447)  1 Pa 2.85, 1 Nd 2.97
Th (0.5000, 0.5000, 0.6654)  4 Sb 3.33
Th (0.5000, 0.5000, 0.3346)  4 Sb 3.33
Pa (0.0000, 0.0000, 0.0000)  2 Sb 2.85
Nd (0.0000, 0.0000, 0.5000)  6 Sb 2.72-2.97

=====

Record 11
Cu2AsRh: relaxed, PBE-GGA.

Results
Magnetic moment: 0.00 Bohr magnetons per cell
E_tot: -5.021 eV/atom
Symmetry: P2/m (10)

a = 4.2323 Å, b = 2.8613 Å, c = 4.7193 Å
α = 77.62°, β = 90.00°, γ = 90.00°
With the nearest neighbours (Å) after each atom.
Atoms (fractional coordinates):
Cu (0.0000, 0.6013, 0.5089)  3 Cu 2.41-2.69, 2 As 2.48
Cu (0.0000, 0.8987, 0.9911)  3 Cu 2.41-2.69, 2 As 2.48
Rh (0.5000, 0.2500, 0.2500)  2 As 2.48, 4 Cu 2.74
As (0.5000, 0.7500, 0.7500)  4 Cu 2.48, 2 Rh 2.48

=====

Record 12
PaZnFe: relaxed, PBE-GGA.

Results
Magnetic moment: 0.00 Bohr magnetons per cell
E_tot: -6.691 eV/atom
Symmetry: C2/m (12)

a = 4.4614 Å, b = 5.7681 Å, c = 4.6045 Å
α = 75.64°, β = 90.00°, γ = 67.23°
With the nearest neighbours (Å) after each atom.
Atoms (fractional coordinates):
Pa (0.8720, 0.2621, 0.1833)  1 Fe 2.24
Pa (0.1325, 0.7412, 0.8211)  1 Fe 2.24
Zn (0.4236, 0.1590, 0.6994)  3 Fe 2.53-2.57, 1 Zn 2.78
Zn (0.5809, 0.8443, 0.3052)  3 Fe 2.53-2.57, 1 Zn 2.78
Fe (0.1955, 0.6150, 0.3258)  1 Pa 2.24
Fe (0.8090, 0.3882, 0.6787)  1 Pa 2.24